Model 1:
## La2HI (PBE-GGA)

Data for a relaxed structure of La2HI.

Output
volume	26.31	A^3/atom

Cell: 3.8979 3.8979 23.9978 Å, 90.00 90.00 120.00°
Sites, in units of the cell vectors:
La  0.0000  0.0000  0.2277
La  0.0000  0.0000  0.7723
La  0.3333  0.6667  0.4390
La  0.3333  0.6667  0.8944
La  0.6667  0.3333  0.1056
La  0.6667  0.3333  0.5610
H  0.0000  0.0000  0.5000
H  0.3333  0.6667  0.1667
H  0.6667  0.3333  0.8333
I  0.0000  0.0000  0.0000
I  0.3333  0.6667  0.6667
I  0.6667  0.3333  0.3333

***

Model 2:
## La2HI (PBE-GGA)

Data for a relaxed structure of La2HI.

Output
volume	26.28	A^3/atom

Cell: 7.5324 7.5324 7.4109 Å, 90.00 90.00 90.00°
Sites, in units of the cell vectors:
La  0.1441  0.2500  0.1250
La  0.2500  0.6441  0.3750
La  0.2500  0.8559  0.8750
La  0.3559  0.2500  0.6250
La  0.6441  0.7500  0.6250
La  0.7500  0.1441  0.8750
La  0.7500  0.3559  0.3750
La  0.8559  0.7500  0.1250
H  0.0000  0.0000  0.0000
H  0.0000  0.5000  0.2500
H  0.5000  0.0000  0.7500
H  0.5000  0.5000  0.5000
I  0.0000  0.0000  0.5000
I  0.0000  0.5000  0.7500
I  0.5000  0.0000  0.2500
I  0.5000  0.5000  0.0000

***

Stability ranking, top entry: model 1; the second entry is 76 meV per atom less favorable.